# Ac2Sn3AsIr4, relaxed, DFT PBE
data_Ac2Sn3AsIr4
_chemical_formula_sum 'Ac2 Sn3 As1 Ir4'
_symmetry_space_group_name_H-M 'P 1'
_symmetry_Int_Tables_number 1
_cell_length_a 4.558
_cell_length_b 4.558
_cell_length_c 10.754
_cell_angle_alpha 90.00
_cell_angle_beta 90.00
_cell_angle_gamma 90.00
loop_
_symmetry_equiv_pos_as_xyz
'x,y,z'
loop_
_atom_site_label
_atom_site_fract_x
_atom_site_fract_y
_atom_site_fract_z
Ir1 0.500 0.000 0.621
Ir2 0.000 0.500 0.379
Ir3 0.500 0.500 0.000
Ir4 0.000 0.000 0.000
Ac1 0.000 0.500 0.743
Ac2 0.500 0.000 0.257
As1 0.500 0.500 0.500
Sn1 0.000 0.000 0.500
Sn2 0.500 0.000 0.868
Sn3 0.000 0.500 0.132
# E_form (eV/atom): -0.600
# Final energy (eV per atom): -6.63